Density functional theory data (PBE) for a relaxed structure of FePRu.

Cell lengths 3.8842, 3.8842, 2.8049 Å; angles 90.00, 90.00, 120.00 degrees
Space group P3m1 (No. 156)
Unique sites:
1 Fe 0.0000 0.0000 0.0000 x1
2 P 0.3333 0.6667 0.9942 x1
3 Ru 0.6667 0.3333 0.5007 x1

Results
* volume: 37 Å³ per cell
* energy of formation from the pure elements: -0.54 eV/f.u.

---

Density functional theory data (PBE) for a relaxed structure of FeP2RuS.

Cell lengths 4.396, 4.396, 5.185 Å; angles 90.00, 90.00, 90.00 degrees
Space group P4/mmm (No. 123)
Unique sites:
1 Fe 0.000 0.000 0.000 x1
2 P 0.000 0.500 0.500 x2
3 Ru 0.500 0.500 0.500 x1
4 S 0.500 0.500 0.000 x1

Results
* polymorph energy (0 for the lowest one): 0.1004 eV per atom
* volume: 100 Å³ per cell
* energy relative to the elements, uncorrected: 0.87 eV/atom

---

Density functional theory data (PBE) for a relaxed structure of FeP2RuS.

Cell lengths 4.195, 4.195, 4.444 Å; angles 90.00, 90.00, 90.00 degrees
Space group P4/mmm (No. 123)
Unique sites:
1 Fe 0.000 0.000 0.000 x1
2 P 0.000 0.500 0.000 x2
3 Ru 0.500 0.500 0.500 x1
4 S 0.000 0.000 0.500 x1

Results
* polymorph energy (0 for the lowest one): 0.0000 eV per atom
* volume: 78 Å³ per cell
* energy relative to the elements, uncorrected: 0.77 eV/atom

---

Density functional theory data (PBE) for a relaxed structure of FeSi2PRu.

Cell lengths 4.315, 4.315, 4.098 Å; angles 90.00, 90.00, 90.00 degrees
Space group P4/mmm (No. 123)
Unique sites:
1 Fe 0.000 0.000 0.000 x1
2 Si 0.000 0.500 0.000 x2
3 P 0.000 0.000 0.500 x1
4 Ru 0.500 0.500 0.500 x1

Results
* polymorph energy (0 for the lowest one): 0.0000 eV per atom
* volume: 76 Å³ per cell
* energy relative to the elements, uncorrected: 0.70 eV/atom

---

Q: What is the formula in the fourth record?
A: FeSi2PRu

---

Q: The highest volume belongs to which entry?
A: number 2

---

Q: What is the formula in the fourth record?
A: FeSi2PRu